one:
# MgFeNiS3 (PBE, optimized geometry)
data_MgFeNiS3
_chemical_formula_sum 'Mg2 Fe2 Ni2 S6'
_symmetry_space_group_name_H-M 'P 1'
_symmetry_Int_Tables_number 1
_symmetry_space_group_name_Hall 'P 1'
_cell_length_a 6.0704
_cell_length_b 6.0704
_cell_length_c 8.9463
_cell_angle_alpha 90.00
_cell_angle_beta 90.00
_cell_angle_gamma 32.59
loop_
_atom_site_label
_atom_site_type_symbol
_atom_site_fract_x
_atom_site_fract_y
_atom_site_fract_z
Fe1 Fe 0.0000 0.0000 0.0000
Fe2 Fe 0.0000 0.0000 0.5000
Mg1 Mg 0.7609 0.7609 0.2500
Mg2 Mg 0.2391 0.2391 0.7500
Ni1 Ni 0.4618 0.4618 0.2500
Ni2 Ni 0.5382 0.5382 0.7500
S1 S 0.3622 0.3622 0.0434
S2 S 0.0830 0.0830 0.2500
S3 S 0.3622 0.3622 0.4566
S4 S 0.6378 0.6378 0.5434
S5 S 0.9170 0.9170 0.7500
S6 S 0.6378 0.6378 0.9566
# symmetry = No. 63

---

two:
# MgFeNiS3 (PBE, optimized geometry)
data_MgFeNiS3
_chemical_formula_sum 'Mg2 Fe2 Ni2 S6'
_symmetry_space_group_name_H-M 'P 1'
_symmetry_Int_Tables_number 1
_symmetry_space_group_name_Hall 'P 1'
_cell_length_a 6.1666
_cell_length_b 6.1666
_cell_length_c 8.7906
_cell_angle_alpha 90.00
_cell_angle_beta 90.00
_cell_angle_gamma 33.27
loop_
_atom_site_label
_atom_site_type_symbol
_atom_site_fract_x
_atom_site_fract_y
_atom_site_fract_z
Fe1 Fe 0.4716 0.4716 0.2500
Fe2 Fe 0.5284 0.5284 0.7500
Mg1 Mg 0.7585 0.7585 0.2500
Mg2 Mg 0.2415 0.2415 0.7500
Ni1 Ni 0.0000 0.0000 0.0000
Ni2 Ni 0.0000 0.0000 0.5000
S1 S 0.3582 0.3582 0.0533
S2 S 0.0870 0.0870 0.2500
S3 S 0.3582 0.3582 0.4467
S4 S 0.6418 0.6418 0.5533
S5 S 0.9130 0.9130 0.7500
S6 S 0.6418 0.6418 0.9467
# symmetry = No. 63

---

Name the most stable of them. one.

---

one:
# MgZnFeNi (PBE, optimized geometry)
data_MgZnFeNi
_chemical_formula_sum 'Mg1 Zn1 Fe1 Ni1'
_symmetry_space_group_name_H-M 'P 1'
_symmetry_Int_Tables_number 1
_symmetry_space_group_name_Hall 'P 1'
_cell_length_a 4.1731
_cell_length_b 4.1731
_cell_length_c 4.1731
_cell_angle_alpha 60.00
_cell_angle_beta 60.00
_cell_angle_gamma 60.00
loop_
_atom_site_label
_atom_site_type_symbol
_atom_site_fract_x
_atom_site_fract_y
_atom_site_fract_z
Fe1 Fe 0.5000 0.5000 0.5000
Mg1 Mg 0.0000 0.0000 0.0000
Ni1 Ni 0.7500 0.7500 0.7500
Zn1 Zn 0.2500 0.2500 0.2500
# symmetry = No. 216

---

two:
# MgZnFeNi (PBE, optimized geometry)
data_MgZnFeNi
_chemical_formula_sum 'Mg1 Zn1 Fe1 Ni1'
_symmetry_space_group_name_H-M 'P 1'
_symmetry_Int_Tables_number 1
_symmetry_space_group_name_Hall 'P 1'
_cell_length_a 4.2231
_cell_length_b 4.2231
_cell_length_c 4.2231
_cell_angle_alpha 60.00
_cell_angle_beta 60.00
_cell_angle_gamma 60.00
loop_
_atom_site_label
_atom_site_type_symbol
_atom_site_fract_x
_atom_site_fract_y
_atom_site_fract_z
Fe1 Fe 0.7500 0.7500 0.7500
Mg1 Mg 0.0000 0.0000 0.0000
Ni1 Ni 0.5000 0.5000 0.5000
Zn1 Zn 0.2500 0.2500 0.2500
# symmetry = No. 216

---

Name the most stable of them. one.

---

one:
# MgPaFe (PBE, optimized geometry)
data_MgPaFe
_chemical_formula_sum 'Mg1 Pa1 Fe1'
_symmetry_space_group_name_H-M 'P 1'
_symmetry_Int_Tables_number 1
_symmetry_space_group_name_Hall 'P 1'
_cell_length_a 4.4156
_cell_length_b 4.4156
_cell_length_c 4.4156
_cell_angle_alpha 60.00
_cell_angle_beta 60.00
_cell_angle_gamma 60.00
loop_
_atom_site_label
_atom_site_type_symbol
_atom_site_fract_x
_atom_site_fract_y
_atom_site_fract_z
Fe1 Fe 0.0000 0.0000 0.0000
Mg1 Mg 0.2500 0.2500 0.2500
Pa1 Pa 0.7500 0.7500 0.7500
# symmetry = No. 216

---

two:
# MgPaFe (PBE, optimized geometry)
data_MgPaFe
_chemical_formula_sum 'Mg1 Pa1 Fe1'
_symmetry_space_group_name_H-M 'P 1'
_symmetry_Int_Tables_number 1
_symmetry_space_group_name_Hall 'P 1'
_cell_length_a 4.5531
_cell_length_b 4.5531
_cell_length_c 4.5531
_cell_angle_alpha 60.00
_cell_angle_beta 60.00
_cell_angle_gamma 60.00
loop_
_atom_site_label
_atom_site_type_symbol
_atom_site_fract_x
_atom_site_fract_y
_atom_site_fract_z
Fe1 Fe 0.2500 0.2500 0.2500
Mg1 Mg 0.7500 0.7500 0.7500
Pa1 Pa 0.0000 0.0000 0.0000
# symmetry = No. 216

---

Name the most stable of them. one.

---

one:
# MgFePbW (PBE, optimized geometry)
data_MgFePbW
_chemical_formula_sum 'Mg1 Fe1 Pb1 W1'
_symmetry_space_group_name_H-M 'P 1'
_symmetry_Int_Tables_number 1
_symmetry_space_group_name_Hall 'P 1'
_cell_length_a 4.5652
_cell_length_b 4.5652
_cell_length_c 4.5652
_cell_angle_alpha 60.00
_cell_angle_beta 60.00
_cell_angle_gamma 60.00
loop_
_atom_site_label
_atom_site_type_symbol
_atom_site_fract_x
_atom_site_fract_y
_atom_site_fract_z
Fe1 Fe 0.7500 0.7500 0.7500
Mg1 Mg 0.2500 0.2500 0.2500
Pb1 Pb 0.0000 0.0000 0.0000
W1 W 0.5000 0.5000 0.5000
# symmetry = No. 216

---

two:
# MgFePbW (PBE, optimized geometry)
data_MgFePbW
_chemical_formula_sum 'Mg1 Fe1 Pb1 W1'
_symmetry_space_group_name_H-M 'P 1'
_symmetry_Int_Tables_number 1
_symmetry_space_group_name_Hall 'P 1'
_cell_length_a 4.6295
_cell_length_b 4.6295
_cell_length_c 4.6295
_cell_angle_alpha 60.00
_cell_angle_beta 60.00
_cell_angle_gamma 60.00
loop_
_atom_site_label
_atom_site_type_symbol
_atom_site_fract_x
_atom_site_fract_y
_atom_site_fract_z
Fe1 Fe 0.7500 0.7500 0.7500
Mg1 Mg 0.5000 0.5000 0.5000
Pb1 Pb 0.0000 0.0000 0.0000
W1 W 0.2500 0.2500 0.2500
# symmetry = No. 216

---

Name the most stable of them. one.

---

one:
# PmMgFe (PBE, optimized geometry)
data_PmMgFe
_chemical_formula_sum 'Pm1 Mg1 Fe1'
_symmetry_space_group_name_H-M 'P 1'
_symmetry_Int_Tables_number 1
_symmetry_space_group_name_Hall 'P 1'
_cell_length_a 4.7640
_cell_length_b 4.7640
_cell_length_c 4.7640
_cell_angle_alpha 60.00
_cell_angle_beta 60.00
_cell_angle_gamma 60.00
loop_
_atom_site_label
_atom_site_type_symbol
_atom_site_fract_x
_atom_site_fract_y
_atom_site_fract_z
Fe1 Fe 0.5000 0.5000 0.5000
Mg1 Mg 0.0000 0.0000 0.0000
Pm1 Pm 0.2500 0.2500 0.2500
# symmetry = No. 216

---

two:
# PmMgFe (PBE, optimized geometry)
data_PmMgFe
_chemical_formula_sum 'Pm1 Mg1 Fe1'
_symmetry_space_group_name_H-M 'P 1'
_symmetry_Int_Tables_number 1
_symmetry_space_group_name_Hall 'P 1'
_cell_length_a 4.6770
_cell_length_b 4.6770
_cell_length_c 4.6770
_cell_angle_alpha 60.00
_cell_angle_beta 60.00
_cell_angle_gamma 60.00
loop_
_atom_site_label
_atom_site_type_symbol
_atom_site_fract_x
_atom_site_fract_y
_atom_site_fract_z
Fe1 Fe 0.0000 0.0000 0.0000
Mg1 Mg 0.7500 0.7500 0.7500
Pm1 Pm 0.2500 0.2500 0.2500
# symmetry = No. 216

---

Name the most stable of them. two.

---

one:
# MgFeSbW (PBE, optimized geometry)
data_MgFeSbW
_chemical_formula_sum 'Mg1 Fe1 Sb1 W1'
_symmetry_space_group_name_H-M 'P 1'
_symmetry_Int_Tables_number 1
_symmetry_space_group_name_Hall 'P 1'
_cell_length_a 4.5154
_cell_length_b 4.5154
_cell_length_c 4.5154
_cell_angle_alpha 60.00
_cell_angle_beta 60.00
_cell_angle_gamma 60.00
loop_
_atom_site_label
_atom_site_type_symbol
_atom_site_fract_x
_atom_site_fract_y
_atom_site_fract_z
Fe1 Fe 0.7500 0.7500 0.7500
Mg1 Mg 0.5000 0.5000 0.5000
Sb1 Sb 0.0000 0.0000 0.0000
W1 W 0.2500 0.2500 0.2500
# symmetry = No. 216

---

two:
# MgFeSbW (PBE, optimized geometry)
data_MgFeSbW
_chemical_formula_sum 'Mg1 Fe1 Sb1 W1'
_symmetry_space_group_name_H-M 'P 1'
_symmetry_Int_Tables_number 1
_symmetry_space_group_name_Hall 'P 1'
_cell_length_a 4.5249
_cell_length_b 4.5249
_cell_length_c 4.5249
_cell_angle_alpha 60.00
_cell_angle_beta 60.00
_cell_angle_gamma 60.00
loop_
_atom_site_label
_atom_site_type_symbol
_atom_site_fract_x
_atom_site_fract_y
_atom_site_fract_z
Fe1 Fe 0.7500 0.7500 0.7500
Mg1 Mg 0.2500 0.2500 0.2500
Sb1 Sb 0.0000 0.0000 0.0000
W1 W 0.5000 0.5000 0.5000
# symmetry = No. 216

---

Name the most stable of them. one.

---

one:
# MgScFeSi (PBE, optimized geometry)
data_MgScFeSi
_chemical_formula_sum 'Mg1 Sc1 Fe1 Si1'
_symmetry_space_group_name_H-M 'P 1'
_symmetry_Int_Tables_number 1
_symmetry_space_group_name_Hall 'P 1'
_cell_length_a 4.3641
_cell_length_b 4.3641
_cell_length_c 4.3641
_cell_angle_alpha 60.00
_cell_angle_beta 60.00
_cell_angle_gamma 60.00
loop_
_atom_site_label
_atom_site_type_symbol
_atom_site_fract_x
_atom_site_fract_y
_atom_site_fract_z
Fe1 Fe 0.7500 0.7500 0.7500
Mg1 Mg 0.5000 0.5000 0.5000
Sc1 Sc 0.2500 0.2500 0.2500
Si1 Si 0.0000 0.0000 0.0000
# symmetry = No. 216

---

two:
# MgScFeSi (PBE, optimized geometry)
data_MgScFeSi
_chemical_formula_sum 'Mg1 Sc1 Fe1 Si1'
_symmetry_space_group_name_H-M 'P 1'
_symmetry_Int_Tables_number 1
_symmetry_space_group_name_Hall 'P 1'
_cell_length_a 4.3519
_cell_length_b 4.3519
_cell_length_c 4.3519
_cell_angle_alpha 60.00
_cell_angle_beta 60.00
_cell_angle_gamma 60.00
loop_
_atom_site_label
_atom_site_type_symbol
_atom_site_fract_x
_atom_site_fract_y
_atom_site_fract_z
Fe1 Fe 0.7500 0.7500 0.7500
Mg1 Mg 0.2500 0.2500 0.2500
Sc1 Sc 0.5000 0.5000 0.5000
Si1 Si 0.0000 0.0000 0.0000
# symmetry = No. 216

---

Name the most stable of them. one.